(1)
DFT (PBE) results for LiLaCdHg2 after structural relaxation.

a = 4.9641 Å, b = 4.9641 Å, c = 4.9367 Å
α = 90.00°, β = 90.00°, γ = 90.00°
With the nearest neighbours (Å) after each atom.
Space group P4/mmm (No. 123)
Inequivalent atoms, fractional coordinates:
1 Li 0.0000 0.0000 0.0000  2 Cd 2.47, 4 Hg 2.48
2 La 0.5000 0.5000 0.5000  8 Hg 3.50, 4 Cd 3.51
3 Cd 0.0000 0.0000 0.5000  2 Li 2.47
4 Hg 0.0000 0.5000 0.0000  2 Li 2.48

Properties
Relative energy among the computed polymorphs = 68.6 meV/atom
Energy relative to the elements = -0.262 eV/atom
Crystal system = tetragonal

=====

(2)
DFT (PBE) results for La8CoRh5 after structural relaxation.

a = 8.9349 Å, b = 8.9349 Å, c = 9.0297 Å
α = 90.00°, β = 90.00°, γ = 90.00°
With the nearest neighbours (Å) after each atom.
Space group I-4 (No. 82)
Inequivalent atoms, fractional coordinates:
1 La 0.0548 0.1992 0.3168  1 Co 2.80, 2 Rh 2.85-2.89
2 La 0.0573 0.3067 0.9309  3 Rh 2.86-2.87
3 Co 0.0000 0.5000 0.2500  4 La 2.80
4 Rh 0.0000 0.0000 0.0000  4 La 2.86
5 Rh 0.1245 0.2503 0.6256  4 La 2.85-2.89

Properties
Energy relative to the elements = -0.599 eV/atom
Crystal system = tetragonal

=====

(3)
DFT (PBE) results for Rb3CuSi after structural relaxation.

a = 6.3661 Å, b = 6.3661 Å, c = 6.3661 Å
α = 90.00°, β = 90.00°, γ = 90.00°
With the nearest neighbours (Å) after each atom.
Space group Pm-3m (No. 221)
Inequivalent atoms, fractional coordinates:
1 Rb 0.0000 0.0000 0.5000  2 Cu 3.18
2 Cu 0.0000 0.0000 0.0000  6 Rb 3.18
3 Si 0.5000 0.5000 0.5000  12 Rb 4.50

Properties
Relative energy among the computed polymorphs = 0.0 meV/atom
Crystal system = cubic

=====

(4)
DFT (PBE) results for Sm4Ho4Tm3 after structural relaxation.

a = 3.5831 Å, b = 5.6332 Å, c = 17.6676 Å
α = 99.14°, β = 90.01°, γ = 90.00°
With the nearest neighbours (Å) after each atom.
Space group P-1 (No. 2)
Inequivalent atoms, fractional coordinates:
1 Sm 0.0008 0.2802 0.0608  6 Ho 3.51-3.67, 4 Sm 3.53-3.58, 2 Tm 3.59-3.60
2 Sm 0.0014 0.9028 0.3064  4 Ho 3.36-3.67, 4 Tm 3.54, 2 Sm 3.58
3 Ho 0.0012 0.4551 0.4111  1 Ho 3.10, 2 Sm 3.36
4 Ho 0.4996 0.1890 0.8773  2 Tm 3.47-3.48, 8 Sm 3.51-3.67, 2 Ho 3.58
5 Tm 0.4982 0.6306 0.7605  4 Ho 3.47-3.49, 6 Sm 3.54-3.60, 2 Tm 3.58
6 Tm 0.5000 0.0000 0.5000  2 Tm 3.58, 8 Ho 3.68-3.69, 4 Sm 3.82-3.83

Properties
Relative energy among the computed polymorphs = 0.0 meV/atom
Energy relative to the elements = 0.036 eV/atom
Crystal system = triclinic

=====

(5)
DFT (PBE) results for KCrS2Cl after structural relaxation.

a = 4.5854 Å, b = 4.5854 Å, c = 5.3191 Å
α = 90.00°, β = 90.00°, γ = 90.00°
With the nearest neighbours (Å) after each atom.
Space group P4/mmm (No. 123)
Inequivalent atoms, fractional coordinates:
1 K 0.0000 0.0000 0.0000  4 Cl 3.24, 8 S 3.51
2 Cr 0.5000 0.5000 0.5000  4 S 2.29
3 S 0.0000 0.5000 0.5000  2 Cr 2.29
4 Cl 0.5000 0.5000 0.0000  2 Cr 2.66

Properties
Relative energy among the computed polymorphs = 0.0 meV/atom
Crystal system = tetragonal

=====

(6)
DFT (PBE) results for TcRu2Pt after structural relaxation.

a = 3.8501 Å, b = 3.8501 Å, c = 7.7826 Å
α = 90.00°, β = 90.00°, γ = 90.00°
With the nearest neighbours (Å) after each atom.
Space group I-4m2 (No. 119)
Inequivalent atoms, fractional coordinates:
1 Tc 0.0000 0.0000 0.0000  8 Ru 2.72-2.74, 4 Pt 2.74
2 Ru 0.0000 0.0000 0.5000  4 Tc 2.72, 4 Ru 2.74, 4 Pt 2.74
3 Ru 0.0000 0.5000 0.2500  4 Pt 2.72, 4 Tc 2.74, 4 Ru 2.74
4 Pt 0.0000 0.5000 0.7500  8 Ru 2.72-2.74, 4 Tc 2.74

Properties
Relative energy among the computed polymorphs = 65.9 meV/atom
Energy relative to the elements = -0.009 eV/atom
Crystal system = tetragonal

=====

(7)
DFT (PBE) results for InAu2F after structural relaxation.

a = 6.5842 Å, b = 6.5842 Å, c = 6.5842 Å
α = 90.00°, β = 90.00°, γ = 90.00°
With the nearest neighbours (Å) after each atom.
Space group Fm-3m (No. 225)
Inequivalent atoms, fractional coordinates:
1 In 0.0000 0.0000 0.0000  8 Au 2.85
2 Au 0.2500 0.2500 0.2500  4 In 2.85, 4 F 2.85
3 F 0.0000 0.0000 0.5000  8 Au 2.85

Properties
Relative energy among the computed polymorphs = 158.5 meV/atom
Crystal system = cubic

=====

(8)
DFT (PBE) results for LiCrAg after structural relaxation.

a = 6.2948 Å, b = 6.2948 Å, c = 6.2948 Å
α = 90.00°, β = 90.00°, γ = 90.00°
With the nearest neighbours (Å) after each atom.
Space group F-43m (No. 216)
Inequivalent atoms, fractional coordinates:
1 Li 0.0000 0.0000 0.0000  4 Ag 2.73
2 Cr 0.0000 0.0000 0.5000  4 Ag 2.73
3 Ag 0.2500 0.2500 0.2500  4 Cr 2.73, 4 Li 2.73

Properties
Relative energy among the computed polymorphs = 365.5 meV/atom
Energy relative to the elements = 0.604 eV/atom
Crystal system = cubic

=====

(9)
DFT (PBE) results for DyScOsRh after structural relaxation.

a = 6.6394 Å, b = 6.6394 Å, c = 6.6394 Å
α = 90.00°, β = 90.00°, γ = 90.00°
With the nearest neighbours (Å) after each atom.
Space group F-43m (No. 216)
Inequivalent atoms, fractional coordinates:
1 Dy 0.0000 0.0000 0.0000  4 Os 2.87, 4 Rh 2.87
2 Sc 0.0000 0.0000 0.5000  4 Os 2.87, 4 Rh 2.87
3 Os 0.2500 0.2500 0.2500  4 Dy 2.87, 4 Sc 2.87
4 Rh 0.2500 0.2500 0.7500  4 Dy 2.87, 4 Sc 2.87

Properties
Energy relative to the elements = -0.557 eV/atom
Crystal system = cubic

=====

(10)
DFT (PBE) results for UCu4Bi after structural relaxation.

a = 7.4670 Å, b = 7.4670 Å, c = 7.4670 Å
α = 90.00°, β = 90.00°, γ = 90.00°
With the nearest neighbours (Å) after each atom.
Space group F-43m (No. 216)
Inequivalent atoms, fractional coordinates:
1 U 0.0000 0.0000 0.0000  12 Cu 3.09, 4 Bi 3.23
2 Cu 0.1263 0.1263 0.6263  6 Cu 2.61-2.67
3 Bi 0.2500 0.2500 0.2500  12 Cu 3.10, 4 U 3.23

Properties
Energy relative to the elements = 0.207 eV/atom
Crystal system = cubic

=====

(11)
DFT (PBE) results for PmNdNi2P2 after structural relaxation.

a = 3.9533 Å, b = 3.9533 Å, c = 8.0849 Å
α = 90.00°, β = 90.00°, γ = 120.00°
With the nearest neighbours (Å) after each atom.
Space group P-3m1 (No. 164)
Inequivalent atoms, fractional coordinates:
1 Pm 0.0000 0.0000 0.0000  6 P 3.03, 6 Ni 3.04
2 Nd 0.0000 0.0000 0.5000  6 Ni 3.05, 6 P 3.06
3 Ni 0.3333 0.6667 0.2492  3 P 2.28
4 P 0.3333 0.6667 0.7527  3 Ni 2.28

Properties
Energy relative to the elements = -1.170 eV/atom
Crystal system = trigonal

=====

(12)
DFT (PBE) results for TlV2In after structural relaxation.

a = 7.4402 Å, b = 7.4402 Å, c = 5.7192 Å
α = 90.00°, β = 90.00°, γ = 90.00°
With the nearest neighbours (Å) after each atom.
Space group I-42d (No. 122)
Inequivalent atoms, fractional coordinates:
1 Tl 0.0000 0.0000 0.0000  4 V 2.73, 2 In 2.86
2 V 0.2489 0.2500 0.6250  2 In 2.72, 2 Tl 2.73, 2 V 2.86
3 In 0.0000 0.0000 0.5000  4 V 2.72, 2 Tl 2.86

Properties
Relative energy among the computed polymorphs = 292.4 meV/atom
Energy relative to the elements = 0.827 eV/atom
Crystal system = tetragonal

=====

(13)
DFT (PBE) results for Tl2OsAu after structural relaxation.

a = 6.8516 Å, b = 6.8516 Å, c = 6.8516 Å
α = 90.00°, β = 90.00°, γ = 90.00°
With the nearest neighbours (Å) after each atom.
Space group Fm-3m (No. 225)
Inequivalent atoms, fractional coordinates:
1 Tl 0.2500 0.2500 0.2500  4 Os 2.97, 4 Au 2.97
2 Os 0.0000 0.0000 0.0000  8 Tl 2.97
3 Au 0.0000 0.0000 0.5000  8 Tl 2.97

Properties
Relative energy among the computed polymorphs = 270.5 meV/atom
Energy relative to the elements = 0.875 eV/atom
Crystal system = cubic

=====

(14)
DFT (PBE) results for BaAlMo2 after structural relaxation.

a = 4.0660 Å, b = 4.1135 Å, c = 9.7971 Å
α = 90.00°, β = 90.00°, γ = 90.00°
With the nearest neighbours (Å) after each atom.
Space group Cmmm (No. 65)
Inequivalent atoms, fractional coordinates:
1 Ba 0.0000 0.0000 0.0000  4 Ba 2.89
2 Al 0.0000 0.0000 0.5000  8 Mo 2.78-2.79, 4 Al 2.89
3 Mo 0.0000 0.5000 0.3069  4 Al 2.78-2.79, 4 Mo 2.89

Properties
Energy relative to the elements = 0.752 eV/atom
Crystal system = orthorhombic

=====

(15)
DFT (PBE) results for Tl3Te2H2 after structural relaxation.

a = 4.8490 Å, b = 4.9755 Å, c = 9.0217 Å
α = 103.62°, β = 105.57°, γ = 90.09°
With the nearest neighbours (Å) after each atom.
Space group P-1 (No. 2)
Inequivalent atoms, fractional coordinates:
1 Tl 0.0000 0.0000 0.0000  2 Tl 3.21, 4 Te 3.49-3.50
2 Tl 0.1744 0.8745 0.3453  1 H 2.58
3 Te 0.3836 0.5784 0.7704  1 H 1.72
4 H 0.2998 0.7019 0.6015  1 Te 1.72

Properties
Crystal system = triclinic

=====

(16)
DFT (PBE) results for Pm2HoRh2 after structural relaxation.

a = 12.9943 Å, b = 3.8572 Å, c = 11.3936 Å
α = 90.00°, β = 119.45°, γ = 90.00°
With the nearest neighbours (Å) after each atom.
Space group C2/m (No. 12)
Inequivalent atoms, fractional coordinates:
1 Pm 0.0428 0.0000 0.1913  6 Rh 2.96-3.22
2 Pm 0.1593 0.0000 0.5750  4 Rh 2.88-3.16
3 Ho 0.2051 0.5000 0.8622  4 Rh 2.73-2.88
4 Rh 0.0088 0.5000 0.3765  1 Ho 2.77, 4 Pm 2.88-3.05, 1 Rh 2.93
5 Rh 0.1242 0.5000 0.0569  3 Ho 2.73-2.88, 1 Rh 2.83, 2 Pm 2.96

Properties
Relative energy among the computed polymorphs = 0.0 meV/atom
Energy relative to the elements = -0.647 eV/atom
Crystal system = monoclinic

=====

(17)
DFT (PBE) results for Cs2AlTlAs after structural relaxation.

a = 7.2476 Å, b = 7.2476 Å, c = 5.4382 Å
α = 90.00°, β = 90.00°, γ = 90.00°
With the nearest neighbours (Å) after each atom.
Space group P4/mmm (No. 123)
Inequivalent atoms, fractional coordinates:
1 Cs 0.0000 0.5000 0.0000  2 As 3.62
2 Al 0.0000 0.0000 0.5000  8 Cs 4.53
3 Tl 0.5000 0.5000 0.5000  2 As 2.72
4 As 0.5000 0.5000 0.0000  2 Tl 2.72

Properties
Energy relative to the elements = 0.317 eV/atom
Crystal system = tetragonal

=====

(18)
DFT (PBE) results for Na2Cd2Ga after structural relaxation.

a = 4.1854 Å, b = 4.1854 Å, c = 15.2586 Å
α = 90.00°, β = 90.00°, γ = 90.00°
With the nearest neighbours (Å) after each atom.
Space group I4/mmm (No. 139)
Inequivalent atoms, fractional coordinates:
1 Na 0.0000 0.5000 0.2500  4 Na 2.96, 4 Cd 3.18
2 Cd 0.0000 0.0000 0.0929  1 Cd 2.83
3 Ga 0.0000 0.0000 0.5000  8 Cd 3.28

Properties
Relative energy among the computed polymorphs = 221.2 meV/atom
Energy relative to the elements = 0.151 eV/atom
Crystal system = tetragonal

=====

(19)
DFT (PBE) results for BeCu3Pt12 after structural relaxation.

a = 3.8777 Å, b = 3.8777 Å, c = 15.6288 Å
α = 90.00°, β = 90.00°, γ = 90.00°
With the nearest neighbours (Å) after each atom.
Space group P4/mmm (No. 123)
Inequivalent atoms, fractional coordinates:
1 Be 0.0000 0.0000 0.0000  12 Pt 2.71-2.74
2 Cu 0.0000 0.0000 0.2481  12 Pt 2.74-2.78
3 Cu 0.0000 0.0000 0.5000  12 Pt 2.74-2.76
4 Pt 0.0000 0.5000 0.1208  2 Be 2.71, 8 Pt 2.71-2.77, 2 Cu 2.78
5 Pt 0.0000 0.5000 0.3739  8 Pt 2.74-2.77, 4 Cu 2.76
6 Pt 0.5000 0.5000 0.0000  8 Pt 2.71, 4 Be 2.74
7 Pt 0.5000 0.5000 0.2474  4 Cu 2.74, 8 Pt 2.77
8 Pt 0.5000 0.5000 0.5000  4 Cu 2.74, 8 Pt 2.76

Properties
Energy relative to the elements = -0.161 eV/atom
Crystal system = tetragonal

=====

(20)
DFT (PBE) results for BaSm2Hg6 after structural relaxation.

a = 3.8686 Å, b = 8.6220 Å, c = 15.2862 Å
α = 90.00°, β = 90.00°, γ = 90.00°
With the nearest neighbours (Å) after each atom.
Space group Immm (No. 71)
Inequivalent atoms, fractional coordinates:
1 Ba 0.0000 0.0000 0.0000  12 Hg 3.46-3.65, 2 Ba 3.87
2 Sm 0.0000 0.5000 0.1452  10 Hg 3.15-3.40
3 Hg 0.0000 0.1678 0.5000  3 Hg 2.89-2.99
4 Hg 0.0000 0.3202 0.3243  4 Hg 2.99-3.22, 1 Sm 3.15

Properties
Energy relative to the elements = -0.404 eV/atom
Crystal system = orthorhombic

=====

Number 1: final energy -1.934 eV per atom, size of the total moment 0.0 Bohr magnetons per cell. Number 2: final energy -6.548 eV per atom, size of the total moment 0.0 Bohr magnetons per cell. Number 3: final energy -1.834 eV per atom, size of the total moment 2.0 Bohr magnetons per cell. Number 4: final energy -4.564 eV per atom, size of the total moment 0.0 Bohr magnetons per cell. Number 5: final energy -4.923 eV per atom, size of the total moment 2.3 Bohr magnetons per cell. Number 6: final energy -8.749 eV per atom, size of the total moment 0.0 Bohr magnetons per cell. Number 7: final energy -3.166 eV per atom, size of the total moment 0.0 Bohr magnetons per cell. Number 8: final energy -4.192 eV per atom, size of the total moment 18.0 Bohr magnetons per cell. Number 9: final energy -7.936 eV per atom, size of the total moment 0.0 Bohr magnetons per cell. Number 10: final energy -5.052 eV per atom, size of the total moment 12.7 Bohr magnetons per cell. Number 11: final energy -6.487 eV per atom, size of the total moment 0.0 Bohr magnetons per cell. Number 12: final energy -5.008 eV per atom, size of the total moment 0.0 Bohr magnetons per cell. Number 13: final energy -3.935 eV per atom, size of the total moment 0.0 Bohr magnetons per cell. Number 14: final energy -6.080 eV per atom, size of the total moment 0.0 Bohr magnetons per cell. Number 15: final energy -2.864 eV per atom, size of the total moment 0.0 Bohr magnetons per cell. Number 16: final energy -6.403 eV per atom, size of the total moment 0.0 Bohr magnetons per cell. Number 17: final energy -2.177 eV per atom, size of the total moment 1.9 Bohr magnetons per cell. Number 18: final energy -1.348 eV per atom, size of the total moment 0.0 Bohr magnetons per cell. Number 19: final energy -5.692 eV per atom, size of the total moment 0.0 Bohr magnetons per cell. Number 20: final energy -1.868 eV per atom, size of the total moment 0.0 Bohr magnetons per cell.